Ru8C, optimized geometry, DFT GGA-PBE; calculated volume = 13.4 Å³ per atom; ρ = 11.30 g/cm3; energy of formation = 622 meV/atom; space group = No. 139
1.0
-4.005 4.005 1.879
4.005 -4.005 1.879
4.005 4.005 -1.879
Ru C
8 1
direct
0.000 0.336 0.336 Ru
0.000 0.664 0.664 Ru
0.332 0.332 0.664 Ru
0.332 0.668 0.000 Ru
0.336 0.000 0.336 Ru
0.664 0.000 0.664 Ru
0.668 0.332 0.000 Ru
0.668 0.668 0.336 Ru
0.000 0.000 0.000 C